Crystalline Zr2RhPb at its relaxed geometry, computed with PBE.

The calculation puts the total energy at -29.482 eV/f.u. The calculation puts the calculated volume at 84.1 Å³/f.u. For the density of states at the Fermi level, the calculation gives 7.11 states/eV/cell.

The structure belongs to space group Cm (No. 8); the cell edges are 11.339, 3.481 and 4.680 Å and the angles 90.00°, 114.37° and 90.00°. The distinct sites, in fractional coordinates, are Zr at (0.000, 0.000, 0.000), Zr at (0.227, 0.000, 0.727), Rh at (0.214, 0.500, 0.215) and Pb at (0.443, 0.000, 0.443).